Co2HgRh | PBE | relaxed

Cell: 5.476 7.450 2.812 Å, 90.00 90.00 90.00°
Space group Cmmm (No. 65)
Inequivalent atoms, fractional coordinates:
Co  0.250  0.250  0.000 (multiplicity 4)
Hg  0.000  0.000  0.500 (multiplicity 2)
Rh  0.000  0.500  0.500 (multiplicity 2)

Output
calculated total energy: -40.76 eV per cell